Density functional theory data (PBE with a Hubbard U) for crystalline V2AgSeO at its relaxed geometry.

```
V2AgSeO
1.0
5.296 0.000 0.000
0.000 5.296 0.000
0.000 0.000 4.670
V Ag Se O
2 1 1 1
Direct
0.000 0.500 0.000
0.500 0.000 0.000
0.000 0.000 0.000
0.000 0.000 0.500
0.500 0.500 0.500
```

Properties
* space-group type: P4/mmm
* VASP energy: -3.86 eV/atom
* ρ: 3.86 g cm⁻³

Density functional theory data (PBE with a Hubbard U) for crystalline VAgSeO5 at its relaxed geometry.

```
VAgSeO5
1.0
4.239 0.000 0.000
0.000 20.608 0.000
0.000 0.000 5.316
V Ag Se O
4 4 4 20
Direct
0.031 0.193 0.250
0.031 0.307 0.750
0.969 0.693 0.250
0.969 0.807 0.750
0.125 0.517 0.250
0.125 0.983 0.750
0.875 0.017 0.250
0.875 0.483 0.750
0.318 0.620 0.750
0.318 0.880 0.250
0.682 0.120 0.750
0.682 0.380 0.250
0.053 0.620 0.006
0.053 0.620 0.494
0.053 0.880 0.506
0.053 0.880 0.994
0.059 0.750 0.000
0.059 0.750 0.500
0.388 0.538 0.750
0.388 0.962 0.250
0.416 0.188 0.250
0.416 0.312 0.750
0.584 0.688 0.250
0.584 0.812 0.750
0.612 0.038 0.750
0.612 0.462 0.250
0.941 0.250 0.000
0.941 0.250 0.500
0.947 0.120 0.006
0.947 0.120 0.494
0.947 0.380 0.506
0.947 0.380 0.994
```

Properties
* space-group type: Pbcm
* ρ: 4.54 g cm⁻³
* energy above the lowest structure with this stoichiometry: 0.0 kJ per mole of atoms

Density functional theory data (PBE with a Hubbard U) for crystalline VAgSeO5 at its relaxed geometry.

```
VAgSeO5
1.0
3.600 -4.431 0.000
3.600 4.431 0.000
-3.456 0.000 6.698
V Ag Se O
2 2 2 10
Direct
0.000 0.000 0.000
0.000 0.000 0.500
0.329 0.671 0.750
0.671 0.329 0.250
0.299 0.701 0.250
0.701 0.299 0.750
0.005 0.995 0.250
0.128 0.724 0.469
0.247 0.375 0.126
0.276 0.872 0.031
0.375 0.247 0.626
0.625 0.753 0.374
0.724 0.128 0.969
0.753 0.625 0.874
0.872 0.276 0.531
0.995 0.005 0.750
```

Properties
* space-group type: C2/c
* ρ: 4.94 g cm⁻³
* energy above the lowest structure with this stoichiometry: 19.9 kJ per mole of atoms

Calculated volume? In order: 131.0 116.1 106.8 Å³/f.u..
Size of the total moment? In order: 6.5 0.0 0.0 Bohr magnetons per cell.